meta-GGA SCAN Cs2YCl, single point on PBEsol structure; total DFT energy (no corrections) = -28.292 eV/atom; theoretical density = 2.9 g cm⁻³; space group = I-42d; N(E_F) = 0.866 states/eV per atom; volume = 441 Å³ per cell
1.0
-6.478 6.478 2.625
6.478 -6.478 2.625
6.478 6.478 -2.625
Cs Y Cl
4 2 2
direct
0.375 0.018 0.143 Cs
0.768 0.625 0.643 Cs
0.875 0.232 0.857 Cs
0.982 0.125 0.357 Cs
0.250 0.750 0.500 Y
0.500 0.500 0.000 Y
0.000 0.000 0.000 Cl
0.750 0.250 0.500 Cl

=====

meta-GGA SCAN Tc5Ru, single point on PBEsol structure; energy relative to the lowest polymorph listed for this composition = 4 meV per atom; energy of formation from the pure elements = -0.033 eV per atom; theoretical density = 11.8 g cm⁻³; space group = Amm2; N(E_F) = 0.811 states/eV per atom; volume = 83 Å³ per cell
1.0
4.327 0.000 0.000
0.000 1.356 7.070
0.000 -1.356 7.070
Tc Ru
5 1
direct
0.000 0.000 0.000 Tc
0.000 0.331 0.331 Tc
0.500 0.221 0.221 Tc
0.500 0.555 0.555 Tc
0.500 0.889 0.889 Tc
0.000 0.667 0.667 Ru

=====

meta-GGA SCAN MgTaCr, single point on PBEsol structure; energy relative to the lowest polymorph listed for this composition = 731 meV per atom; energy of formation from the pure elements = 1.047 eV per atom; theoretical density = 7.7 g cm⁻³; space group = F-43m; N(E_F) = 1.227 states/eV per atom; volume = 55 Å³ per cell
1.0
0.000 3.027 3.027
3.027 0.000 3.027
3.027 3.027 0.000
Mg Ta Cr
1 1 1
direct
0.000 0.000 0.000 Mg
0.500 0.500 0.500 Ta
0.750 0.750 0.750 Cr

=====

meta-GGA SCAN ScTe2Pt, single point on PBEsol structure; total DFT energy (no corrections) = -40.529 eV/atom; theoretical density = 8.7 g cm⁻³; space group = Imm2; N(E_F) = 0.528 states/eV per atom; volume = 95 Å³ per cell
1.0
-1.841 1.969 6.549
1.841 -1.969 6.549
1.841 1.969 -6.549
Sc Te Pt
1 2 1
direct
0.000 0.000 0.000 Sc
0.336 0.836 0.500 Te
0.596 0.596 0.000 Te
0.824 0.324 0.500 Pt

=====

meta-GGA SCAN SrTa2Ag, single point on PBEsol structure; energy relative to the lowest polymorph listed for this composition = 0 meV per atom; energy of formation from the pure elements = 0.687 eV per atom; theoretical density = 10.6 g cm⁻³; space group = R3m; N(E_F) = 0.804 states/eV per atom; volume = 88 Å³ per cell
1.0
1.610 0.930 9.748
-1.610 0.930 9.748
0.000 -1.859 9.748
Sr Ta Ag
1 2 1
direct
0.000 0.000 0.000 Sr
0.499 0.499 0.499 Ta
0.765 0.765 0.765 Ta
0.241 0.241 0.241 Ag

=====

meta-GGA SCAN Te2PAu, single point on PBEsol structure; total DFT energy (no corrections) = -37.878 eV/atom; theoretical density = 9.4 g cm⁻³; space group = F-43m; N(E_F) = 0.460 states/eV per atom; volume = 85 Å³ per cell
1.0
0.000 3.493 3.493
3.493 0.000 3.493
3.493 3.493 0.000
Te P Au
2 1 1
direct
0.000 0.000 0.000 Te
0.250 0.250 0.250 Te
0.500 0.500 0.500 P
0.750 0.750 0.750 Au

=====

meta-GGA SCAN AlInAsSe2, single point on PBEsol structure; total DFT energy (no corrections) = -19.669 eV/atom; theoretical density = 4.4 g cm⁻³; space group = P4/mmm; N(E_F) = 0.709 states/eV per atom; volume = 140 Å³ per cell
1.0
5.220 0.000 0.000
0.000 5.220 0.000
0.000 0.000 5.156
Al In As Se
1 1 1 2
direct
0.000 0.000 0.000 Al
0.500 0.500 0.500 In
0.500 0.500 0.000 As
0.000 0.500 0.500 Se
0.500 0.000 0.500 Se

=====

meta-GGA SCAN CuPdAu2, single point on PBEsol structure; energy of formation from the pure elements = -0.086 eV per atom; theoretical density = 15.5 g cm⁻³; space group = Fm-3m; N(E_F) = 0.305 states/eV per atom; volume = 60 Å³ per cell
1.0
0.000 3.112 3.112
3.112 0.000 3.112
3.112 3.112 0.000
Cu Pd Au
1 1 2
direct
0.000 0.000 0.000 Cu
0.500 0.500 0.500 Pd
0.250 0.250 0.250 Au
0.750 0.750 0.750 Au

=====

meta-GGA SCAN Sc2AlGeS, single point on PBEsol structure; total DFT energy (no corrections) = -13.045 eV/atom; theoretical density = 3.2 g cm⁻³; space group = P4/mmm; N(E_F) = 0.763 states/eV per atom; volume = 115 Å³ per cell
1.0
5.079 0.000 0.000
0.000 5.079 0.000
0.000 0.000 4.443
Sc Al Ge S
2 1 1 1
direct
0.000 0.500 0.000 Sc
0.500 0.000 0.000 Sc
0.000 0.000 0.500 Al
0.000 0.000 0.000 Ge
0.500 0.500 0.500 S

=====

meta-GGA SCAN Ga2PdRh2, single point on PBEsol structure; energy of formation from the pure elements = -0.543 eV per atom; theoretical density = 10.7 g cm⁻³; space group = P4/mbm; N(E_F) = 0.464 states/eV per atom; volume = 141 Å³ per cell
1.0
6.959 0.000 0.000
0.000 6.959 0.000
0.000 0.000 2.905
Ga Pd Rh
4 2 4
direct
0.148 0.352 0.000 Ga
0.352 0.852 0.000 Ga
0.648 0.148 0.000 Ga
0.852 0.648 0.000 Ga
0.000 0.000 0.000 Pd
0.500 0.500 0.000 Pd
0.150 0.650 0.500 Rh
0.350 0.150 0.500 Rh
0.650 0.850 0.500 Rh
0.850 0.350 0.500 Rh

=====

meta-GGA SCAN LaAlO3, single point on PBEsol structure; total DFT energy (no corrections) = -17.592 eV/atom; theoretical density = 6.6 g cm⁻³; space group = Pm-3m; N(E_F) = 0.000 states/eV per atom; volume = 54 Å³ per cell
1.0
3.771 0.000 0.000
0.000 3.771 0.000
0.000 0.000 3.771
La Al O
1 1 3
direct
0.000 0.000 0.000 La
0.500 0.500 0.500 Al
0.000 0.500 0.500 O
0.500 0.000 0.500 O
0.500 0.500 0.000 O

=====

meta-GGA SCAN TlNiAg2, single point on PBEsol structure; energy relative to the lowest polymorph listed for this composition = 14 meV per atom; energy of formation from the pure elements = 0.287 eV per atom; theoretical density = 12.1 g cm⁻³; space group = F-43m; N(E_F) = 0.378 states/eV per atom; volume = 66 Å³ per cell
1.0
0.000 3.203 3.203
3.203 0.000 3.203
3.203 3.203 0.000
Tl Ni Ag
1 1 2
direct
0.000 0.000 0.000 Tl
0.750 0.750 0.750 Ni
0.250 0.250 0.250 Ag
0.500 0.500 0.500 Ag